1.
The following is a DFT calculation (PBE) of an optimized crystal structure of Na2Ac3Tl4.

Lattice parameters (Å, degrees): 5.730 5.730 10.629 90.04 90.04 59.89
Fractional positions:
1 Na 0.167 0.167 0.281
2 Na 0.833 0.833 0.719
3 Ac 0.166 0.166 0.902
4 Ac 0.500 0.500 0.500
5 Ac 0.834 0.834 0.098
6 Tl 0.167 0.167 0.589
7 Tl 0.499 0.499 0.841
8 Tl 0.501 0.501 0.159
9 Tl 0.833 0.833 0.411

Formation energy from the elements: -220 meV/atom

=====

2.
The following is a DFT calculation (PBE) of an optimized crystal structure of Tm4In2H.

Lattice parameters (Å, degrees): 5.930 6.642 8.884 90.00 104.31 90.00
Fractional positions:
1 Tm 0.178 0.250 0.066
2 Tm 0.266 0.750 0.374
3 Tm 0.273 0.501 0.732
4 Tm 0.273 0.999 0.732
5 Tm 0.727 0.001 0.268
6 Tm 0.727 0.499 0.268
7 Tm 0.734 0.250 0.626
8 Tm 0.822 0.750 0.934
9 In 0.214 0.250 0.419
10 In 0.347 0.750 0.042
11 In 0.653 0.250 0.958
12 In 0.786 0.750 0.581
13 H 0.078 0.250 0.798
14 H 0.922 0.750 0.202

Energy: -58.92 eV for the cell shown

=====

3.
The following is a DFT calculation (PBE) of an optimized crystal structure of KRb2Hg4.

Lattice parameters (Å, degrees): 10.439 10.439 10.439 145.03 145.03 50.29
Fractional positions:
1 K 0.000 0.000 0.000
2 Rb 0.374 0.374 0.000
3 Rb 0.626 0.626 0.000
4 Hg 0.000 0.500 0.500
5 Hg 0.179 0.179 0.000
6 Hg 0.500 0.000 0.500
7 Hg 0.821 0.821 0.000

Formation energy from the elements: -55 meV/atom

=====

4.
The following is a DFT calculation (PBE) of an optimized crystal structure of TaNiMo.

Lattice parameters (Å, degrees): 6.588 6.487 2.698 80.20 76.00 23.80
Fractional positions:
1 Ta 0.000 0.000 0.000
2 Ni 0.660 0.660 0.340
3 Mo 0.313 0.313 0.687

Formation energy from the elements: -63 meV/atom